Al3Ga5Sn12 | PBE | optimized geometry

Space group   No. 230
Density of states at the Fermi level   0.65 states/eV/atom
E   -0.1306 hartree per atom
Size of the total moment   0.00 μB per formula unit
E_form   0.167 eV per atom

Unit cell a=14.319 b=14.319 c=14.319 alpha=109.47 beta=109.47 gamma=109.47
Fractional positions:
Al 0.750 0.375 0.125
Al 0.875 0.750 0.125
Al 0.375 0.750 0.625
Al 0.250 0.125 0.375
Al 0.875 0.125 0.250
Al 0.375 0.625 0.250
Al 0.625 0.375 0.750
Al 0.125 0.875 0.750
Al 0.750 0.875 0.625
Al 0.625 0.250 0.375
Al 0.125 0.250 0.875
Al 0.250 0.625 0.875
Ga 0.125 0.375 0.250
Ga 0.000 0.500 0.000
Ga 0.000 0.000 0.000
Ga 0.375 0.250 0.125
Ga 0.500 0.000 0.500
Ga 0.500 0.500 0.000
Ga 0.125 0.750 0.375
Ga 0.750 0.125 0.875
Ga 0.750 0.625 0.375
Ga 0.375 0.125 0.750
Ga 0.625 0.875 0.250
Ga 0.500 0.500 0.500
Ga 0.500 0.000 0.000
Ga 0.000 0.000 0.500
Ga 0.250 0.375 0.625
Ga 0.250 0.875 0.125
Ga 0.000 0.500 0.500
Ga 0.875 0.250 0.625
Ga 0.625 0.750 0.875
Ga 0.875 0.625 0.750
Sn 0.732 0.129 0.060
Sn 0.328 0.560 0.432
Sn 0.940 0.371 0.268
Sn 0.560 0.232 0.129
Sn 0.603 0.732 0.672
Sn 0.940 0.568 0.172
Sn 0.328 0.768 0.397
Sn 0.068 0.897 0.129
Sn 0.568 0.940 0.672
Sn 0.732 0.603 0.172
Sn 0.768 0.440 0.371
Sn 0.828 0.932 0.060
Sn 0.129 0.732 0.560
Sn 0.371 0.432 0.103
Sn 0.103 0.932 0.371
Sn 0.397 0.129 0.568
Sn 0.103 0.172 0.232
Sn 0.440 0.672 0.068
Sn 0.828 0.897 0.268
Sn 0.129 0.397 0.068
Sn 0.371 0.940 0.768
Sn 0.568 0.629 0.397
Sn 0.932 0.828 0.560
Sn 0.768 0.328 0.897
Sn 0.432 0.371 0.603
Sn 0.068 0.172 0.440
Sn 0.232 0.672 0.103
Sn 0.172 0.103 0.732
Sn 0.629 0.060 0.232
Sn 0.871 0.603 0.932
Sn 0.560 0.328 0.932
Sn 0.603 0.871 0.432
Sn 0.897 0.828 0.768
Sn 0.897 0.068 0.629
Sn 0.871 0.268 0.440
Sn 0.172 0.068 0.940
Sn 0.629 0.568 0.897
Sn 0.432 0.060 0.328
Sn 0.268 0.397 0.828
Sn 0.232 0.560 0.629
Sn 0.932 0.103 0.871
Sn 0.672 0.232 0.603
Sn 0.440 0.768 0.871
Sn 0.060 0.432 0.828
Sn 0.397 0.268 0.328
Sn 0.060 0.629 0.732
Sn 0.672 0.440 0.568
Sn 0.268 0.871 0.940